The following is a DFT calculation (PBE-GGA) of a geometry-optimized MgTl2P structure.

Unit cell a=5.209 b=5.209 c=5.209 alpha=60.00 beta=60.00 gamma=60.00
Sites, in units of the cell vectors:
P 0.500 0.500 0.500
Mg 0.000 0.000 0.000
Tl 0.250 0.250 0.250
Tl 0.750 0.750 0.750

The energy above the lowest structure with this stoichiometry comes out at 0.339 eV per atom. As for the formation energy: 244 meV per atom. The total energy is -2.69 eV per atom. The density of states at the Fermi level comes out at 2.1 states/eV/cell.

***

The following is a DFT calculation (PBE-GGA) of a geometry-optimized KReTe structure.

Unit cell a=4.723 b=4.723 c=4.723 alpha=60.00 beta=60.00 gamma=60.00
Sites, in units of the cell vectors:
Te 0.000 0.000 0.000
K 0.500 0.500 0.500
Re 0.750 0.750 0.750

The energy above the lowest structure with this stoichiometry comes out at 0.706 eV per atom. The total energy is -4.29 eV per atom. The density of states at the Fermi level comes out at 2.4 states/eV/cell. The value obtained for the raw formation energy is 1275 meV per atom.

***

The following is a DFT calculation (PBE-GGA) of a geometry-optimized Cs4Y3ScSe8 structure.

Unit cell a=8.447 b=9.670 c=8.448 alpha=115.91 beta=120.00 gamma=90.00
Sites, in units of the cell vectors:
Se 0.738 0.682 0.960
Se 0.222 0.682 0.960
Se 0.222 0.682 0.444
Se 0.262 0.318 0.040
Se 0.778 0.318 0.040
Se 0.778 0.318 0.556
Se 0.729 0.687 0.458
Se 0.271 0.313 0.542
Cs 0.500 0.000 0.000
Cs 0.000 0.000 0.500
Cs 0.000 0.000 0.000
Cs 0.500 0.000 0.500
Y 0.500 0.500 0.500
Y 0.000 0.500 0.500
Y 0.500 0.500 0.000
Sc 0.000 0.500 0.000

The total energy is -5.25 eV per atom. The density of states at the Fermi level comes out at 0.0 states/eV/cell. The value obtained for the raw formation energy is -1689 meV per atom.